(1)
# PBE-GGA LiLa3Ho2S6, relaxed
data_LiLa3Ho2S6
_cell_length_a 6.9244
_cell_length_b 6.9244
_cell_length_c 6.9915
_cell_angle_alpha 99.50
_cell_angle_beta 99.50
_cell_angle_gamma 120.12
_symmetry_space_group_name_H-M 'P 1'
_symmetry_Int_Tables_number 1
loop_
_symmetry_equiv_pos_as_xyz
'x,y,z'
loop_
_atom_site_label
_atom_site_type_symbol
_atom_site_fract_x
_atom_site_fract_y
_atom_site_fract_z
Li1 Li 0.0000 0.0000 0.0000
La1 La 0.1655 0.8345 0.5000
La2 La 0.5000 0.5000 0.5000
La3 La 0.8345 0.1655 0.5000
Ho1 Ho 0.3339 0.6661 0.0000
Ho2 Ho 0.6661 0.3339 0.0000
S1 S 0.0756 0.4057 0.2273
S2 S 0.2537 0.2537 0.7751
S3 S 0.4057 0.0756 0.2273
S4 S 0.5943 0.9244 0.7727
S5 S 0.7463 0.7463 0.2249
S6 S 0.9244 0.5943 0.7727
# size of the total moment: 0.00 μB per formula unit
# final energy: -74.716 eV per cell
# DOS(E_F): 5.421 states/eV per cell
# E_form (uncorrected): -2.008 eV per atom

=====

(2)
# PBE-GGA TiNbS2Cl, relaxed
data_TiNbS2Cl
_cell_length_a 4.8179
_cell_length_b 4.8179
_cell_length_c 4.8069
_cell_angle_alpha 90.00
_cell_angle_beta 90.00
_cell_angle_gamma 90.00
_symmetry_space_group_name_H-M 'P 1'
_symmetry_Int_Tables_number 1
loop_
_symmetry_equiv_pos_as_xyz
'x,y,z'
loop_
_atom_site_label
_atom_site_type_symbol
_atom_site_fract_x
_atom_site_fract_y
_atom_site_fract_z
Ti1 Ti 0.0000 0.0000 0.0000
Nb1 Nb 0.5000 0.5000 0.5000
S1 S 0.0000 0.5000 0.5000
S2 S 0.5000 0.0000 0.5000
Cl1 Cl 0.5000 0.5000 0.0000
# size of the total moment: 0.58 μB per formula unit
# final energy: -28.418 eV per cell
# offset from the most stable computed form: 0.42 eV/f.u.
# DOS(E_F): 6.416 states/eV per cell
# E_form (uncorrected): -0.070 eV per atom

=====

(3)
# PBE-GGA YMgGa2, relaxed
data_YMgGa2
_cell_length_a 6.2662
_cell_length_b 6.2662
_cell_length_c 6.2662
_cell_angle_alpha 104.59
_cell_angle_beta 104.59
_cell_angle_gamma 119.75
_symmetry_space_group_name_H-M 'P 1'
_symmetry_Int_Tables_number 1
loop_
_symmetry_equiv_pos_as_xyz
'x,y,z'
loop_
_atom_site_label
_atom_site_type_symbol
_atom_site_fract_x
_atom_site_fract_y
_atom_site_fract_z
Y1 Y 0.0000 0.0000 0.0000
Y2 Y 0.7500 0.2500 0.5000
Mg1 Mg 0.2500 0.7500 0.5000
Mg2 Mg 0.5000 0.5000 0.0000
Ga1 Ga 0.1503 0.6250 0.0253
Ga2 Ga 0.3750 0.4003 0.5253
Ga3 Ga 0.5997 0.1250 0.9747
Ga4 Ga 0.8750 0.8497 0.4747
# size of the total moment: 0.00 μB per formula unit
# final energy: -29.591 eV per cell
# DOS(E_F): 5.757 states/eV per cell

=====

(4)
# PBE-GGA Tm2Al3SiPt4, relaxed
data_Tm2Al3SiPt4
_cell_length_a 4.1066
_cell_length_b 4.1066
_cell_length_c 10.5960
_cell_angle_alpha 90.00
_cell_angle_beta 90.00
_cell_angle_gamma 90.00
_symmetry_space_group_name_H-M 'P 1'
_symmetry_Int_Tables_number 1
loop_
_symmetry_equiv_pos_as_xyz
'x,y,z'
loop_
_atom_site_label
_atom_site_type_symbol
_atom_site_fract_x
_atom_site_fract_y
_atom_site_fract_z
Tm1 Tm 0.0000 0.5000 0.2408
Tm2 Tm 0.5000 0.0000 0.7592
Al1 Al 0.0000 0.0000 0.0000
Al2 Al 0.0000 0.5000 0.6358
Al3 Al 0.5000 0.0000 0.3642
Si1 Si 0.5000 0.5000 0.0000
Pt1 Pt 0.0000 0.0000 0.5000
Pt2 Pt 0.0000 0.5000 0.8663
Pt3 Pt 0.5000 0.0000 0.1337
Pt4 Pt 0.5000 0.5000 0.5000
# size of the total moment: 0.00 μB per formula unit
# final energy: -60.734 eV per cell
# DOS(E_F): 2.926 states/eV per cell
# E_form (uncorrected): -1.098 eV per atom